*one*
Compound: Y2ScCu
Source: the Alexandria database
Functional: meta-GGA SCAN
Structure: PBEsol geometry

Summary:
total moment: 0.00 μB per formula unit

a b c (Å): 5.072 5.072 3.596
angles (deg): 90.00 90.00 90.00
Space group P4/mmm (No. 123)
Asymmetric unit:
Y: 0.000 0.500 0.000 [2 per cell]
Sc: 0.000 0.000 0.500 [1 per cell]
Cu: 0.500 0.500 0.500 [1 per cell]

*two*
Compound: Y2ScCu
Source: the Alexandria database
Functional: meta-GGA SCAN
Structure: PBEsol geometry

Summary:
total moment: 0.00 μB per formula unit

a b c (Å): 3.4430 3.4430 28.6255
angles (deg): 90.00 90.00 120.00
Space group R-3m (No. 166, hexagonal axes)
Asymmetric unit:
Y: 0.0000 0.0000 0.2386 [6 per cell]
Sc: 0.0000 0.0000 0.0000 [3 per cell]
Cu: 0.0000 0.0000 0.5000 [3 per cell]

*three*
Compound: Y2ScCu
Source: the Alexandria database
Functional: meta-GGA SCAN
Structure: PBEsol geometry

Summary:
total moment: 0.00 μB per formula unit

a b c (Å): 3.466 5.063 10.766
angles (deg): 90.00 90.00 90.00
Space group Imm2 (No. 44)
Asymmetric unit:
Y: 0.000 0.000 0.000 [2 per cell]
Y: 0.000 0.500 0.210 [2 per cell]
Sc: 0.000 0.500 0.797 [2 per cell]
Cu: 0.000 0.000 0.487 [2 per cell]

*four*
Compound: Y2ScCu
Source: the Alexandria database
Functional: meta-GGA SCAN
Structure: PBEsol geometry

Summary:
total moment: 0.00 μB per formula unit

a b c (Å): 3.350 3.350 8.417
angles (deg): 90.00 90.00 90.00
Space group P4mm (No. 99)
Asymmetric unit:
Y: 0.000 0.000 0.000 [1 per cell]
Y: 0.500 0.500 0.320 [1 per cell]
Sc: 0.500 0.500 0.708 [1 per cell]
Cu: 0.000 0.000 0.543 [1 per cell]

Which one is most stable, and which one is least stable? *three* is the most stable of them, while *two* is the least stable.

*one*
Compound: YSc2Cu
Source: the Alexandria database
Functional: meta-GGA SCAN
Structure: PBEsol geometry

Summary:
total moment: 0.00 μB per formula unit

a b c (Å): 3.368 4.956 10.486
angles (deg): 90.00 90.00 90.00
Space group Immm (No. 71)
Asymmetric unit:
Y: 0.000 0.000 0.000 [2 per cell]
Sc: 0.000 0.500 0.209 [4 per cell]
Cu: 0.000 0.000 0.500 [2 per cell]

*two*
Compound: YSc2Cu
Source: the Alexandria database
Functional: meta-GGA SCAN
Structure: PBEsol geometry

Summary:
total moment: 1.45 μB per formula unit

a b c (Å): 3.289 3.289 8.113
angles (deg): 90.00 90.00 90.00
Space group P4mm (No. 99)
Asymmetric unit:
Y: 0.000 0.000 0.000 [1 per cell]
Sc: 0.000 0.000 0.412 [1 per cell]
Sc: 0.500 0.500 0.691 [1 per cell]
Cu: 0.500 0.500 0.236 [1 per cell]

*three*
Compound: YSc2Cu
Source: the Alexandria database
Functional: meta-GGA SCAN
Structure: PBEsol geometry

Summary:
total moment: 0.00 μB per formula unit

a b c (Å): 3.247 3.247 8.283
angles (deg): 90.00 90.00 90.00
Space group P4/mmm (No. 123)
Asymmetric unit:
Y: 0.000 0.000 0.000 [1 per cell]
Sc: 0.500 0.500 0.309 [2 per cell]
Cu: 0.000 0.000 0.500 [1 per cell]

*four*
Compound: YSc2Cu
Source: the Alexandria database
Functional: meta-GGA SCAN
Structure: PBEsol geometry

Summary:
total moment: 0.00 μB per formula unit

a b c (Å): 3.438 4.887 10.363
angles (deg): 90.00 90.00 90.00
Space group Imm2 (No. 44)
Asymmetric unit:
Y: 0.000 0.000 0.000 [2 per cell]
Sc: 0.000 0.000 0.416 [2 per cell]
Sc: 0.000 0.500 0.211 [2 per cell]
Cu: 0.000 0.500 0.723 [2 per cell]

Which one is most stable, and which one is least stable? *one* is the most stable of them, while *four* is the least stable.